[1]
{
  "formula": "Sc3H7Ru2",
  "functional": "PBE-GGA",
  "state": "optimized geometry",
  "cell": [[3.1159, 0.0000, 0.0000], [0.0000, 3.1044, 0.0000], [-1.5483, 0.0000, 12.2462]],
  "species": ["Sc", "Sc", "Sc", "H", "H", "H", "H", "H", "H", "H", "Ru", "Ru"],
  "frac_coords": [[0.0000, 0.0000, 0.0000], [0.3163, 0.5000, 0.6351], [0.6837, 0.5000, 0.3649], [0.0762, 0.5000, 0.1482], [0.1883, 0.0000, 0.3752], [0.4236, 0.0000, 0.8513], [0.5000, 0.5000, 0.0000], [0.5764, 0.0000, 0.1487], [0.8117, 0.0000, 0.6248], [0.9238, 0.5000, 0.8518], [0.1161, 0.0000, 0.2286], [0.8839, 0.0000, 0.7714]],
  "total_energy_ev_per_atom": -5.348,
  "spacegroup": "P2/m, No. 10"
}

[2]
{
  "formula": "ScH3Ru",
  "functional": "PBE-GGA",
  "state": "optimized geometry",
  "cell": [[3.7425, -4.3422, 0.0000], [3.7425, 4.3422, 0.0000], [-1.6261, 0.0000, 5.3909]],
  "species": ["Sc", "Sc", "Sc", "Sc", "H", "H", "H", "H", "H", "H", "H", "H", "H", "H", "H", "H", "Ru", "Ru", "Ru", "Ru"],
  "frac_coords": [[0.1020, 0.8980, 0.7500], [0.3414, 0.6586, 0.2500], [0.6586, 0.3414, 0.7500], [0.8980, 0.1020, 0.2500], [0.0483, 0.5746, 0.8849], [0.0546, 0.8217, 0.3747], [0.1783, 0.9454, 0.1253], [0.3196, 0.3344, 0.4306], [0.3344, 0.3196, 0.9306], [0.4254, 0.9517, 0.6151], [0.5746, 0.0483, 0.3849], [0.6656, 0.6804, 0.0694], [0.6804, 0.6656, 0.5694], [0.8217, 0.0546, 0.8747], [0.9454, 0.1783, 0.6253], [0.9517, 0.4254, 0.1151], [0.1735, 0.4209, 0.6801], [0.4209, 0.1735, 0.1801], [0.5791, 0.8265, 0.8199], [0.8265, 0.5791, 0.3199]],
  "total_energy_ev_per_atom": -5.545,
  "spacegroup": "C2/c, No. 15"
}

[3]
{
  "formula": "ScHRu3",
  "functional": "PBE-GGA",
  "state": "optimized geometry",
  "cell": [[3.9759, 0.0000, 0.0000], [0.0000, 3.9759, 0.0000], [0.0000, 0.0000, 3.9759]],
  "species": ["Sc", "H", "Ru", "Ru", "Ru"],
  "frac_coords": [[0.0000, 0.0000, 0.0000], [0.5000, 0.5000, 0.5000], [0.0000, 0.5000, 0.5000], [0.5000, 0.0000, 0.5000], [0.5000, 0.5000, 0.0000]],
  "spacegroup": "Pm-3m, No. 221",
  "de_polymorph_mev_per_atom": 0.0
}

[4]
{
  "formula": "ScH3Ru",
  "functional": "PBE-GGA",
  "state": "optimized geometry",
  "cell": [[5.8685, 0.0000, 0.0000], [0.0000, 4.5252, 0.0000], [-2.2066, 0.0000, 6.6661]],
  "species": ["Sc", "Sc", "Sc", "Sc", "H", "H", "H", "H", "H", "H", "H", "H", "H", "H", "H", "H", "Ru", "Ru", "Ru", "Ru"],
  "frac_coords": [[0.2059, 0.2406, 0.1725], [0.2059, 0.2594, 0.6725], [0.7941, 0.7406, 0.3275], [0.7941, 0.7594, 0.8275], [0.1059, 0.0037, 0.3937], [0.1059, 0.4963, 0.8937], [0.2609, 0.7452, 0.1875], [0.2609, 0.7548, 0.6875], [0.3589, 0.1373, 0.9607], [0.3589, 0.3627, 0.4607], [0.6411, 0.6373, 0.5393], [0.6411, 0.8627, 0.0393], [0.7391, 0.2452, 0.3125], [0.7391, 0.2547, 0.8125], [0.8941, 0.5037, 0.1063], [0.8941, 0.9963, 0.6063], [0.3271, 0.7493, 0.9558], [0.3271, 0.7507, 0.4558], [0.6729, 0.2493, 0.5442], [0.6729, 0.2507, 0.0442]],
  "total_energy_ev_per_atom": -5.535,
  "spacegroup": "P2_1/c, No. 14"
}

[5]
{
  "formula": "ScH3Ru",
  "functional": "PBE-GGA",
  "state": "optimized geometry",
  "cell": [[4.9560, 0.0000, 0.0000], [0.0000, 6.2281, 0.0000], [0.0000, 0.0000, 5.6269]],
  "species": ["Sc", "Sc", "Sc", "Sc", "H", "H", "H", "H", "H", "H", "H", "H", "H", "H", "H", "H", "Ru", "Ru", "Ru", "Ru"],
  "frac_coords": [[0.0000, 0.0000, 0.0000], [0.0000, 0.5000, 0.0000], [0.5000, 0.0000, 0.5000], [0.5000, 0.5000, 0.5000], [0.1028, 0.0196, 0.3645], [0.1028, 0.4804, 0.3645], [0.2409, 0.2500, 0.1416], [0.2591, 0.7500, 0.6416], [0.3972, 0.5196, 0.8645], [0.3972, 0.9804, 0.8645], [0.6028, 0.0196, 0.1355], [0.6028, 0.4804, 0.1355], [0.7409, 0.2500, 0.3584], [0.7591, 0.7500, 0.8584], [0.8972, 0.5196, 0.6355], [0.8972, 0.9804, 0.6355], [0.0224, 0.7500, 0.4312], [0.4776, 0.2500, 0.9312], [0.5224, 0.7500, 0.0688], [0.9776, 0.2500, 0.5688]],
  "total_energy_ev_per_atom": -5.458,
  "spacegroup": "Pnma, No. 62"
}

[6]
{
  "formula": "ScH3Ru",
  "functional": "PBE-GGA",
  "state": "optimized geometry",
  "cell": [[3.2199, 0.0000, 0.0000], [0.0000, 4.8234, 0.0000], [-0.0083, 0.0000, 5.3962]],
  "species": ["Sc", "Sc", "H", "H", "H", "H", "H", "H", "Ru", "Ru"],
  "frac_coords": [[0.2505, 0.2500, 0.1495], [0.7495, 0.7500, 0.8505], [0.2489, 0.0123, 0.6598], [0.2489, 0.4877, 0.6598], [0.2501, 0.7500, 0.0701], [0.7499, 0.2500, 0.9299], [0.7511, 0.5123, 0.3402], [0.7511, 0.9877, 0.3402], [0.2495, 0.7500, 0.3963], [0.7505, 0.2500, 0.6037]],
  "total_energy_ev_per_atom": -5.401,
  "spacegroup": "P2_1/m, No. 11"
}

[7]
{
  "formula": "Sc12H5Ru3",
  "functional": "PBE-GGA",
  "state": "optimized geometry",
  "cell": [[-6.9806, 6.9806, 6.9806], [6.9806, -6.9806, 6.9806], [6.9806, 6.9806, -6.9806]],
  "species": ["Sc", "Sc", "Sc", "Sc", "Sc", "Sc", "Sc", "Sc", "Sc", "Sc", "Sc", "Sc", "Sc", "Sc", "Sc", "Sc", "Sc", "Sc", "Sc", "Sc", "Sc", "Sc", "Sc", "Sc", "Sc", "Sc", "Sc", "Sc", "Sc", "Sc", "Sc", "Sc", "Sc", "Sc", "Sc", "Sc", "Sc", "Sc", "Sc", "Sc", "Sc", "Sc", "Sc", "Sc", "Sc", "Sc", "Sc", "Sc", "H", "H", "H", "H", "H", "H", "H", "H", "H", "H", "H", "H", "H", "H", "H", "H", "H", "H", "H", "H", "Ru", "Ru", "Ru", "Ru", "Ru", "Ru", "Ru", "Ru", "Ru", "Ru", "Ru", "Ru"],
  "frac_coords": [[0.0260, 0.2154, 0.1214], [0.0260, 0.3105, 0.9045], [0.0940, 0.7154, 0.6895], [0.0940, 0.8786, 0.4045], [0.0955, 0.6214, 0.4060], [0.0955, 0.9740, 0.6895], [0.1214, 0.0260, 0.2154], [0.1214, 0.5955, 0.9060], [0.1895, 0.2154, 0.5940], [0.1895, 0.4740, 0.5955], [0.2154, 0.1214, 0.0260], [0.2154, 0.5940, 0.1895], [0.2846, 0.3105, 0.9060], [0.2846, 0.4740, 0.3786], [0.3105, 0.9045, 0.0260], [0.3105, 0.9060, 0.2846], [0.3786, 0.2846, 0.4740], [0.3786, 0.5940, 0.9045], [0.4045, 0.0940, 0.8786], [0.4045, 0.8105, 0.5260], [0.4060, 0.0955, 0.6214], [0.4060, 0.8105, 0.7846], [0.4740, 0.3786, 0.2846], [0.4740, 0.5955, 0.1895], [0.5260, 0.4045, 0.8105], [0.5260, 0.6214, 0.7154], [0.5940, 0.1895, 0.2154], [0.5940, 0.9045, 0.3786], [0.5955, 0.1895, 0.4740], [0.5955, 0.9060, 0.1214], [0.6214, 0.4060, 0.0955], [0.6214, 0.7154, 0.5260], [0.6895, 0.0940, 0.7154], [0.6895, 0.0955, 0.9740], [0.7154, 0.5260, 0.6214], [0.7154, 0.6895, 0.0940], [0.7846, 0.4060, 0.8105], [0.7846, 0.8786, 0.9740], [0.8105, 0.5260, 0.4045], [0.8105, 0.7846, 0.4060], [0.8786, 0.4045, 0.0940], [0.8786, 0.9740, 0.7846], [0.9045, 0.0260, 0.3105], [0.9045, 0.3786, 0.5940], [0.9060, 0.1214, 0.5955], [0.9060, 0.2846, 0.3105], [0.9740, 0.6895, 0.0955], [0.9740, 0.7846, 0.8786], [0.0000, 0.0000, 0.0000], [0.0000, 0.0000, 0.5000], [0.0000, 0.5000, 0.0000], [0.0000, 0.5000, 0.5000], [0.1250, 0.7500, 0.8750], [0.1250, 0.8750, 0.2500], [0.2500, 0.1250, 0.8750], [0.2500, 0.6250, 0.3750], [0.3750, 0.2500, 0.6250], [0.3750, 0.6250, 0.7500], [0.5000, 0.0000, 0.0000], [0.5000, 0.0000, 0.5000], [0.5000, 0.5000, 0.0000], [0.5000, 0.5000, 0.5000], [0.6250, 0.3750, 0.2500], [0.6250, 0.7500, 0.3750], [0.7500, 0.3750, 0.6250], [0.7500, 0.8750, 0.1250], [0.8750, 0.1250, 0.7500], [0.8750, 0.2500, 0.1250], [0.1250, 0.2500, 0.3750], [0.1250, 0.3750, 0.7500], [0.2500, 0.3750, 0.1250], [0.2500, 0.8750, 0.6250], [0.3750, 0.1250, 0.2500], [0.3750, 0.7500, 0.1250], [0.6250, 0.2500, 0.8750], [0.6250, 0.8750, 0.7500], [0.7500, 0.1250, 0.3750], [0.7500, 0.6250, 0.8750], [0.8750, 0.6250, 0.2500], [0.8750, 0.7500, 0.6250]],
  "total_energy_ev_per_atom": -6.387,
  "spacegroup": "Ia-3d, No. 230"
}

[8]
{
  "formula": "ScH2Ru",
  "functional": "PBE-GGA",
  "state": "optimized geometry",
  "cell": [[0.0000, 2.6920, 2.6920], [2.6920, 0.0000, 2.6920], [2.6920, 2.6920, 0.0000]],
  "species": ["Sc", "H", "H", "Ru"],
  "frac_coords": [[0.0000, 0.0000, 0.0000], [0.2500, 0.2500, 0.2500], [0.7500, 0.7500, 0.7500], [0.5000, 0.5000, 0.5000]],
  "spacegroup": "Fm-3m, No. 225",
  "de_polymorph_mev_per_atom": 431.5
}

[9]
{
  "formula": "ScH3Ru",
  "functional": "PBE-GGA",
  "state": "optimized geometry",
  "cell": [[3.1411, 0.0000, 0.0000], [0.0000, 3.1411, 0.0000], [0.0000, 0.0000, 4.2608]],
  "species": ["Sc", "H", "H", "H", "Ru"],
  "frac_coords": [[0.0000, 0.0000, 0.0000], [0.0000, 0.5000, 0.6516], [0.5000, 0.0000, 0.6516], [0.5000, 0.5000, 0.0497], [0.5000, 0.5000, 0.4469]],
  "total_energy_ev_per_atom": -5.531,
  "spacegroup": "P4mm, No. 99"
}

[10]
{
  "formula": "ScH3Ru",
  "functional": "PBE-GGA",
  "state": "optimized geometry",
  "cell": [[2.3373, 1.3494, 4.7046], [-2.3373, 1.3494, 4.7046], [0.0000, -2.6989, 4.7046]],
  "species": ["Sc", "Sc", "H", "H", "H", "H", "H", "H", "Ru", "Ru"],
  "frac_coords": [[0.1034, 0.1034, 0.1034], [0.8966, 0.8966, 0.8966], [0.1202, 0.5832, 0.5832], [0.4168, 0.4168, 0.8798], [0.4168, 0.8798, 0.4168], [0.5832, 0.1202, 0.5832], [0.5832, 0.5832, 0.1202], [0.8798, 0.4168, 0.4168], [0.2986, 0.2986, 0.2986], [0.7014, 0.7014, 0.7014]],
  "total_energy_ev_per_atom": -5.486,
  "spacegroup": "R-3m, No. 166"
}

[11]
{
  "formula": "ScH3Ru",
  "functional": "PBE-GGA",
  "state": "optimized geometry",
  "cell": [[2.5076, 1.4478, 3.9805], [-2.5076, 1.4478, 3.9805], [0.0000, -2.8956, 3.9805]],
  "species": ["Sc", "Sc", "H", "H", "H", "H", "H", "H", "Ru", "Ru"],
  "frac_coords": [[0.2500, 0.2500, 0.2500], [0.7500, 0.7500, 0.7500], [0.2064, 0.7500, 0.2936], [0.2500, 0.7064, 0.7936], [0.2936, 0.2064, 0.7500], [0.7064, 0.7936, 0.2500], [0.7500, 0.2936, 0.2064], [0.7936, 0.2500, 0.7064], [0.0000, 0.0000, 0.0000], [0.5000, 0.5000, 0.5000]],
  "total_energy_ev_per_atom": -5.527,
  "spacegroup": "R-3c, No. 167"
}

[12]
{
  "formula": "ScH3Ru",
  "functional": "PBE-GGA",
  "state": "optimized geometry",
  "cell": [[0.0000, 4.4673, 4.4673], [4.4673, 0.0000, 4.4673], [4.4673, 4.4673, 0.0000]],
  "species": ["Sc", "Sc", "Sc", "Sc", "H", "H", "H", "H", "H", "H", "H", "H", "H", "H", "H", "H", "Ru", "Ru", "Ru", "Ru"],
  "frac_coords": [[0.0000, 0.0000, 0.0000], [0.0000, 0.0000, 0.5000], [0.0000, 0.5000, 0.0000], [0.5000, 0.0000, 0.0000], [0.1570, 0.1570, 0.5930], [0.1570, 0.5930, 0.1570], [0.1570, 0.5930, 0.5930], [0.4070, 0.4070, 0.8430], [0.4070, 0.8430, 0.4070], [0.4070, 0.8430, 0.8430], [0.5930, 0.1570, 0.1570], [0.5930, 0.1570, 0.5930], [0.5930, 0.5930, 0.1570], [0.8430, 0.4070, 0.4070], [0.8430, 0.4070, 0.8430], [0.8430, 0.8430, 0.4070], [0.0000, 0.5000, 0.5000], [0.5000, 0.0000, 0.5000], [0.5000, 0.5000, 0.0000], [0.5000, 0.5000, 0.5000]],
  "total_energy_ev_per_atom": -5.352,
  "spacegroup": "Fd-3m, No. 227"
}

[13]
{
  "formula": "ScH3Ru",
  "functional": "PBE-GGA",
  "state": "optimized geometry",
  "cell": [[5.4298, -1.5633, 0.0000], [5.4298, 1.5633, 0.0000], [-0.9453, 0.0000, 5.1118]],
  "species": ["Sc", "Sc", "H", "H", "H", "H", "H", "H", "Ru", "Ru"],
  "frac_coords": [[0.1112, 0.1112, 0.3238], [0.8888, 0.8888, 0.6762], [0.0715, 0.0715, 0.7109], [0.2025, 0.2025, 0.0173], [0.3100, 0.3100, 0.4325], [0.6900, 0.6900, 0.5675], [0.7975, 0.7975, 0.9827], [0.9285, 0.9285, 0.2891], [0.3755, 0.3755, 0.1381], [0.6245, 0.6245, 0.8619]],
  "total_energy_ev_per_atom": -5.446,
  "spacegroup": "C2/m, No. 12"
}

[14]
{
  "formula": "ScH3Ru",
  "functional": "PBE-GGA",
  "state": "optimized geometry",
  "cell": [[4.3625, -3.9142, 0.0000], [4.3625, 3.9142, 0.0000], [-1.3514, 0.0000, 5.1168]],
  "species": ["Sc", "Sc", "Sc", "Sc", "H", "H", "H", "H", "H", "H", "H", "H", "H", "H", "H", "H", "Ru", "Ru", "Ru", "Ru"],
  "frac_coords": [[0.0760, 0.3231, 0.2370], [0.3231, 0.0760, 0.7370], [0.6769, 0.9240, 0.2630], [0.9240, 0.6769, 0.7630], [0.0544, 0.3197, 0.8479], [0.1655, 0.6603, 0.5253], [0.3091, 0.4903, 0.0335], [0.3197, 0.0544, 0.3479], [0.3397, 0.8345, 0.9747], [0.4903, 0.3091, 0.5335], [0.5097, 0.6909, 0.4665], [0.6603, 0.1655, 0.0253], [0.6803, 0.9456, 0.6521], [0.6909, 0.5097, 0.9665], [0.8345, 0.3397, 0.4747], [0.9456, 0.6803, 0.1521], [0.2129, 0.7871, 0.2500], [0.4126, 0.5874, 0.7500], [0.5874, 0.4126, 0.2500], [0.7871, 0.2129, 0.7500]],
  "total_energy_ev_per_atom": -5.431,
  "spacegroup": "C2/c, No. 15"
}

[15]
{
  "formula": "ScH3Ru",
  "functional": "PBE-GGA",
  "state": "optimized geometry",
  "cell": [[3.3402, 0.0000, 0.0000], [-1.6701, 2.8927, 0.0000], [0.0000, 0.0000, 9.0523]],
  "species": ["Sc", "Sc", "H", "H", "H", "H", "H", "H", "Ru", "Ru"],
  "frac_coords": [[0.0000, 0.0000, 0.0000], [0.0000, 0.0000, 0.5000], [0.0000, 0.0000, 0.2500], [0.0000, 0.0000, 0.7500], [0.3333, 0.6667, 0.0619], [0.3333, 0.6667, 0.4381], [0.6667, 0.3333, 0.5619], [0.6667, 0.3333, 0.9381], [0.3333, 0.6667, 0.2500], [0.6667, 0.3333, 0.7500]],
  "total_energy_ev_per_atom": -5.489,
  "spacegroup": "P6_3/mmc, No. 194"
}

[16]
{
  "formula": "ScH3Ru",
  "functional": "PBE-GGA",
  "state": "optimized geometry",
  "cell": [[3.2540, 0.0000, 0.0000], [-1.6270, 2.8180, 0.0000], [0.0000, 0.0000, 9.5882]],
  "species": ["Sc", "Sc", "H", "H", "H", "H", "H", "H", "Ru", "Ru"],
  "frac_coords": [[0.3333, 0.6667, 0.2500], [0.6667, 0.3333, 0.7500], [0.0000, 0.0000, 0.2500], [0.0000, 0.0000, 0.7500], [0.3333, 0.6667, 0.0340], [0.3333, 0.6667, 0.4660], [0.6667, 0.3333, 0.5340], [0.6667, 0.3333, 0.9660], [0.0000, 0.0000, 0.0000], [0.0000, 0.0000, 0.5000]],
  "total_energy_ev_per_atom": -5.217,
  "spacegroup": "P6_3/mmc, No. 194"
}

[17]
{
  "formula": "ScHRu",
  "functional": "PBE-GGA",
  "state": "optimized geometry",
  "cell": [[5.1044, -1.5850, 0.0000], [5.1044, 1.5850, 0.0000], [-1.2293, 0.0000, 4.4485]],
  "species": ["Sc", "Sc", "H", "H", "Ru", "Ru"],
  "frac_coords": [[0.1139, 0.1139, 0.3131], [0.8861, 0.8861, 0.6869], [0.2291, 0.2291, 0.8106], [0.7709, 0.7709, 0.1894], [0.3790, 0.3790, 0.1915], [0.6210, 0.6210, 0.8085]],
  "total_energy_ev_per_atom": -6.723,
  "spacegroup": "C2/m, No. 12"
}

[18]
{
  "formula": "ScH8Ru2",
  "functional": "PBE-GGA",
  "state": "optimized geometry",
  "cell": [[4.0460, -2.7588, 0.0000], [4.0460, 2.7588, 0.0000], [-0.0051, 0.0000, 3.4509]],
  "species": ["Sc", "H", "H", "H", "H", "H", "H", "H", "H", "Ru", "Ru"],
  "frac_coords": [[0.0000, 0.0000, 0.0000], [0.0542, 0.6834, 0.5002], [0.2675, 0.2675, 0.9998], [0.3166, 0.9458, 0.4998], [0.4998, 0.4998, 0.2399], [0.5002, 0.5002, 0.7601], [0.6834, 0.0542, 0.5002], [0.7325, 0.7325, 0.0002], [0.9458, 0.3166, 0.4998], [0.3118, 0.3118, 0.4999], [0.6882, 0.6882, 0.5001]],
  "total_energy_ev_per_atom": -4.793,
  "spacegroup": "C2/m, No. 12"
}

| no. | V (Å³ per cell) | calculated density (kg/m³) |
| --- | --- | --- |
| 1 | 118 | 4823 |
| 2 | 175 | 5650 |
| 3 | 63 | 9225 |
| 4 | 177 | 5592 |
| 5 | 174 | 5700 |
| 6 | 84 | 5906 |
| 7 | 1361 | 4138 |
| 8 | 39 | 6300 |
| 9 | 42 | 5887 |
| 10 | 89 | 5560 |
| 11 | 87 | 5709 |
| 12 | 178 | 5552 |
| 13 | 87 | 5704 |
| 14 | 175 | 5665 |
| 15 | 87 | 5660 |
| 16 | 88 | 5630 |
| 17 | 72 | 6784 |
| 18 | 77 | 5500 |